# 1
The following is a PBE-GGA calculation of a relaxed PmSm4Os2 crystal, from the Alexandria database.

a b c (Å): 6.516 8.002 7.966
angles (deg): 112.42 90.00 90.00
Element x y z (fractional)
Os  0.750  0.744  0.021
Os  0.250  0.625  0.589
Os  0.750  0.375  0.411
Os  0.250  0.256  0.979
Sm  0.250  0.246  0.323
Sm  0.498  0.583  0.241
Sm  0.750  0.021  0.378
Sm  0.998  0.417  0.759
Sm  0.002  0.583  0.241
Sm  0.750  0.754  0.677
Sm  0.502  0.417  0.759
Sm  0.250  0.979  0.622
Pm  0.250  0.841  0.972
Pm  0.750  0.159  0.028

Density, Mg/m³: 9.75
Density of states at the Fermi level, states/eV per atom: 0.96
SG: P2_1/m, No. 11
Crystal system: monoclinic
Raw total energy, eV/atom: -6.639



# 2
The following is a PBE-GGA calculation of a relaxed Pm2Sm2Os crystal, from the Alexandria database.

a b c (Å): 7.570 7.189 8.042
angles (deg): 73.28 56.88 58.23
Element x y z (fractional)
Pm  0.022  0.553  0.754
Pm  0.978  0.447  0.246
Pm  0.425  0.553  0.246
Pm  0.575  0.447  0.754
Sm  0.168  0.000  0.609
Sm  0.832  0.000  0.391
Sm  0.645  0.000  0.098
Sm  0.355  0.000  0.902
Os  0.126  0.748  0.000
Os  0.874  0.252  0.000

Excess energy over the best structure of this formula in the dataset, kJ/mol of formula units: 0
Density, Mg/m³: 8.32
Density of states at the Fermi level, states/eV per atom: 1.12
SG: C2/m, No. 12
Crystal system: monoclinic
Raw total energy, eV/atom: -6.082